[1]
A plane-wave DFT calculation with GGA-PBE was carried out for a geometry-optimized AlSi2Ag structure.

```
data_AlSi2Ag
_chemical_formula_sum 'Al1 Si2 Ag1'
_symmetry_space_group_name_H-M 'P 4/m m m'
_symmetry_Int_Tables_number 123
_symmetry_space_group_name_Hall '-P 4 2'
_cell_length_a 4.0570
_cell_length_b 4.0570
_cell_length_c 4.0227
_cell_angle_alpha 90.00
_cell_angle_beta 90.00
_cell_angle_gamma 90.00
loop_
_atom_site_label
_atom_site_type_symbol
_atom_site_fract_x
_atom_site_fract_y
_atom_site_fract_z
_atom_site_occupancy
Al1 Al 0.0000 0.0000 0.0000 1
Si1 Si 0.0000 0.5000 0.5000 1
Ag1 Ag 0.5000 0.5000 0.0000 1
```

Values from the calculation:
E_form (uncorrected)   33.7 kJ/mol of atoms
Energy   -16.042 eV/f.u.



[2]
A plane-wave DFT calculation with GGA-PBE was carried out for a geometry-optimized AlSiAg structure.

```
data_AlSiAg
_chemical_formula_sum 'Al1 Si1 Ag1'
_symmetry_space_group_name_H-M 'P 3 m 1'
_symmetry_Int_Tables_number 156
_cell_length_a 4.6206
_cell_length_b 4.6206
_cell_length_c 2.7891
_cell_angle_alpha 90.00
_cell_angle_beta 90.00
_cell_angle_gamma 120.00
loop_
_symmetry_equiv_pos_as_xyz
'x,y,z'
'-y,x-y,z'
'-x+y,-x,z'
'-y,-x,z'
'-x+y,y,z'
'x,x-y,z'
loop_
_atom_site_label
_atom_site_type_symbol
_atom_site_fract_x
_atom_site_fract_y
_atom_site_fract_z
_atom_site_occupancy
Al1 Al 0.0000 0.0000 0.0000 1
Si1 Si 0.6667 0.3333 0.3223 1
Ag1 Ag 0.3333 0.6667 0.3710 1
```

Values from the calculation:
E_form (uncorrected)   26.2 kJ/mol of atoms
Energy   -11.202 eV/f.u.



[3]
A plane-wave DFT calculation with GGA-PBE was carried out for a geometry-optimized AlSiAg structure.

```
data_AlSiAg
_chemical_formula_sum 'Al2 Si2 Ag2'
_symmetry_space_group_name_H-M 'P 1 m 1'
_symmetry_Int_Tables_number 6
_cell_length_a 6.2459
_cell_length_b 2.7930
_cell_length_c 6.3557
_cell_angle_alpha 90.00
_cell_angle_beta 99.15
_cell_angle_gamma 90.00
loop_
_symmetry_equiv_pos_as_xyz
'x,y,z'
'x,-y,z'
loop_
_atom_site_label
_atom_site_type_symbol
_atom_site_fract_x
_atom_site_fract_y
_atom_site_fract_z
_atom_site_occupancy
Al1 Al 0.0000 0.0000 0.0000 1
Al2 Al 0.4413 0.5000 0.6760 1
Si1 Si 0.0396 0.5000 0.6579 1
Si2 Si 0.6005 0.0000 0.0093 1
Ag1 Ag 0.3280 0.5000 0.2264 1
Ag2 Ag 0.7191 0.0000 0.4482 1
```

Values from the calculation:
E_form (uncorrected)   15.5 kJ/mol of atoms
Energy   -11.535 eV/f.u.



[4]
A plane-wave DFT calculation with GGA-PBE was carried out for a geometry-optimized Al2SiAg structure.

```
data_Al2SiAg
_chemical_formula_sum 'Al2 Si1 Ag1'
_symmetry_space_group_name_H-M 'P 4/m m m'
_symmetry_Int_Tables_number 123
_symmetry_space_group_name_Hall '-P 4 2'
_cell_length_a 4.1986
_cell_length_b 4.1986
_cell_length_c 3.7894
_cell_angle_alpha 90.00
_cell_angle_beta 90.00
_cell_angle_gamma 90.00
loop_
_atom_site_label
_atom_site_type_symbol
_atom_site_fract_x
_atom_site_fract_y
_atom_site_fract_z
_atom_site_occupancy
Al1 Al 0.0000 0.5000 0.0000 1
Si1 Si 0.0000 0.0000 0.5000 1
Ag1 Ag 0.5000 0.5000 0.5000 1
```

Values from the calculation:
E_form (uncorrected)   17.9 kJ/mol of atoms
Energy   -15.019 eV/f.u.



[5]
A plane-wave DFT calculation with GGA-PBE was carried out for a geometry-optimized AlSi2Ag structure.

```
data_AlSi2Ag
_chemical_formula_sum 'Al2 Si4 Ag2'
_symmetry_space_group_name_H-M 'C m m m'
_symmetry_Int_Tables_number 65
_symmetry_space_group_name_Hall '-C 2 2'
_cell_length_a 2.7296
_cell_length_b 5.1791
_cell_length_c 9.3983
_cell_angle_alpha 90.00
_cell_angle_beta 90.00
_cell_angle_gamma 90.00
loop_
_atom_site_label
_atom_site_type_symbol
_atom_site_fract_x
_atom_site_fract_y
_atom_site_fract_z
_atom_site_occupancy
Al1 Al 0.0000 0.0000 0.0000 1
Si1 Si 0.0000 0.5000 0.2467 1
Ag1 Ag 0.0000 0.0000 0.5000 1
```

Values from the calculation:
E_form (uncorrected)   33.2 kJ/mol of atoms
Energy   -16.064 eV/f.u.



[6]
A plane-wave DFT calculation with GGA-PBE was carried out for a geometry-optimized AlSiAg structure.

```
data_AlSiAg
_chemical_formula_sum 'Al4 Si4 Ag4'
_symmetry_space_group_name_H-M 'P n m a'
_symmetry_Int_Tables_number 62
_cell_length_a 7.0403
_cell_length_b 4.5028
_cell_length_c 6.6940
_cell_angle_alpha 90.00
_cell_angle_beta 90.00
_cell_angle_gamma 90.00
loop_
_symmetry_equiv_pos_as_xyz
'x,y,z'
'-x,-y,-z'
'-x+1/2,-y,z+1/2'
'x+1/2,y,-z+1/2'
'x+1/2,-y+1/2,-z+1/2'
'-x+1/2,y+1/2,z+1/2'
'-x,y+1/2,-z'
'x,-y+1/2,z'
loop_
_atom_site_label
_atom_site_type_symbol
_atom_site_fract_x
_atom_site_fract_y
_atom_site_fract_z
_atom_site_occupancy
Al1 Al 0.0807 0.2500 0.1826 1
Si1 Si 0.2093 0.7500 0.0368 1
Ag1 Ag 0.1052 0.7500 0.4240 1
```

Values from the calculation:
E_form (uncorrected)   11.8 kJ/mol of atoms
Energy   -11.649 eV/f.u.